[1]
# BaNaAu2

Crystalline BaNaAu2 at its relaxed geometry (PBE-GGA, the Alexandria database).

Summary:
Fermi-level density of states (states/eV/f.u.): 1.7
Volume (Å³ per cell): 109.4
Calculated total energy (eV/cell): -11.9
Total moment (μB/f.u.): 0.00

Unit cell a=3.9260 b=3.9260 c=7.0949 alpha=90.00 beta=90.00 gamma=90.00
Space group P4/mmm (No. 123)
One atom of each set of equivalent atoms:
1 Ba 0.0000 0.0000 0.0000
2 Na 0.0000 0.0000 0.5000
3 Au 0.5000 0.5000 0.2929

=====

[2]
# Ba5Na3Au3

Crystalline Ba5Na3Au3 at its relaxed geometry (PBE-GGA, the Alexandria database).

Summary:
Fermi-level density of states (states/eV/f.u.): 6.3
Volume (Å³ per cell): 525.8
Calculated total energy (eV/cell): -26.5
Total moment (μB/f.u.): 0.00

Unit cell a=10.2296 b=10.2296 c=5.8016 alpha=90.00 beta=90.00 gamma=120.00
Space group P-62m (No. 189)
One atom of each set of equivalent atoms:
1 Ba 0.0000 0.7527 0.0000
2 Ba 0.3333 0.6667 0.0000
3 Na 0.0000 0.3968 0.5000
4 Au 0.0000 0.3731 0.0000

=====

[3]
# Ba6NaAu3

Crystalline Ba6NaAu3 at its relaxed geometry (PBE-GGA, the Alexandria database).

Summary:
Fermi-level density of states (states/eV/f.u.): 7.0
Volume (Å³ per cell): 935.6
Calculated total energy (eV/cell): -54.3
Total moment (μB/f.u.): 0.00

Unit cell a=14.1390 b=4.8771 c=14.2975 alpha=90.00 beta=108.39 gamma=90.00
Space group P2_1/m (No. 11)
One atom of each set of equivalent atoms:
1 Ba 0.0241 0.2500 0.3914
2 Ba 0.1150 0.2500 0.9551
3 Ba 0.1965 0.7500 0.2614
4 Ba 0.2826 0.7500 0.7630
5 Ba 0.3498 0.2500 0.5340
6 Ba 0.4271 0.7500 0.0835
7 Na 0.4396 0.2500 0.3003
8 Au 0.0391 0.2500 0.1623
9 Au 0.1792 0.7500 0.5043
10 Au 0.3413 0.2500 0.9245

=====

[4]
# BaNaAu2

Crystalline BaNaAu2 at its relaxed geometry (PBE-GGA, the Alexandria database).

Summary:
Fermi-level density of states (states/eV/f.u.): 1.9
Volume (Å³ per cell): 390.3
Calculated total energy (eV/cell): -34.9
Total moment (μB/f.u.): 0.00

Unit cell a=4.6271 b=4.6271 c=21.0506 alpha=90.00 beta=90.00 gamma=120.00
Space group R3m (No. 160, hexagonal axes)
One atom of each set of equivalent atoms:
1 Ba 0.0000 0.0000 0.0000
2 Na 0.0000 0.0000 0.8242
3 Au 0.0000 0.0000 0.4288
4 Au 0.0000 0.0000 0.5658

=====

[5]
# BaNa2Au2

Crystalline BaNa2Au2 at its relaxed geometry (PBE-GGA, the Alexandria database).

Summary:
Fermi-level density of states (states/eV/f.u.): 3.4
Volume (Å³ per cell): 290.1
Calculated total energy (eV/cell): -27.0
Total moment (μB/f.u.): 0.00

Unit cell a=4.5198 b=4.5198 c=14.2026 alpha=90.00 beta=90.00 gamma=90.00
Space group I4/mmm (No. 139)
One atom of each set of equivalent atoms:
1 Ba 0.0000 0.0000 0.0000
2 Na 0.0000 0.5000 0.2500
3 Au 0.0000 0.0000 0.3994

=====

[6]
# Ba2NaAu2

Crystalline Ba2NaAu2 at its relaxed geometry (PBE-GGA, the Alexandria database).

Summary:
Fermi-level density of states (states/eV/f.u.): 2.8
Volume (Å³ per cell): 353.4
Calculated total energy (eV/cell): -27.9
Total moment (μB/f.u.): 0.00

Unit cell a=9.3900 b=9.3900 c=4.0083 alpha=90.00 beta=90.00 gamma=90.00
Space group P4/mbm (No. 127)
One atom of each set of equivalent atoms:
1 Ba 0.1502 0.3498 0.0000
2 Na 0.0000 0.0000 0.0000
3 Au 0.1419 0.6419 0.5000

=====

[7]
# BaNa2Au2

Crystalline BaNa2Au2 at its relaxed geometry (PBE-GGA, the Alexandria database).

Summary:
Fermi-level density of states (states/eV/f.u.): 2.9
Volume (Å³ per cell): 265.6
Calculated total energy (eV/cell): -25.5
Total moment (μB/f.u.): 0.00

Unit cell a=8.6387 b=8.6387 c=3.5596 alpha=90.00 beta=90.00 gamma=90.00
Space group P4/mbm (No. 127)
One atom of each set of equivalent atoms:
1 Ba 0.0000 0.0000 0.0000
2 Na 0.1160 0.3840 0.0000
3 Au 0.1818 0.6818 0.5000

=====

[8]
# Ba8NaAu4

Crystalline Ba8NaAu4 at its relaxed geometry (PBE-GGA, the Alexandria database).

Summary:
Fermi-level density of states (states/eV/f.u.): 10.0
Volume (Å³ per cell): 1309.6
Calculated total energy (eV/cell): -71.7
Total moment (μB/f.u.): 0.00

Unit cell a=22.8329 b=4.8114 c=15.6851 alpha=90.00 beta=130.54 gamma=90.00
Space group Cm (No. 8)
One atom of each set of equivalent atoms:
1 Ba 0.0000 0.0000 0.0000
2 Ba 0.0334 0.0000 0.7475
3 Ba 0.0705 0.0000 0.4789
4 Ba 0.1674 0.5000 0.3419
5 Ba 0.2044 0.5000 0.0733
6 Ba 0.2377 0.5000 0.8208
7 Ba 0.3263 0.0000 0.6683
8 Ba 0.4116 0.0000 0.1523
9 Na 0.3688 0.0000 0.4089
10 Au 0.0146 0.5000 0.8717
11 Au 0.0383 0.0000 0.2420
12 Au 0.1996 0.5000 0.5789
13 Au 0.2233 0.0000 0.9493